## LiAcInRu (PBE-GGA)

Data for a geometry-optimized LiAcInRu structure.

Lattice parameters (Å, degrees): 7.064 7.064 7.064 90.00 90.00 90.00
Fractional coordinates of all 16 atoms:
Li 0.000 0.000 0.000
Li 0.000 0.500 0.500
Li 0.500 0.000 0.500
Li 0.500 0.500 0.000
Ac 0.250 0.250 0.750
Ac 0.250 0.750 0.250
Ac 0.750 0.250 0.250
Ac 0.750 0.750 0.750
In 0.250 0.250 0.250
In 0.250 0.750 0.750
In 0.750 0.250 0.750
In 0.750 0.750 0.250
Ru 0.000 0.000 0.500
Ru 0.000 0.500 0.000
Ru 0.500 0.000 0.000
Ru 0.500 0.500 0.500

## Properties
Space group: F-43m
Magnetization (μB/f.u.): 0.00
Calculated formation energy (meV per atom): -96.4